No. 1
# InFe2Sb, relaxed, DFT GGA-PBE
# E_form (uncorrected) = 157 meV/atom
# polymorph energy (0 for the lowest one) = 0 meV per atom
# density of states at the Fermi level = 2.19 states/eV/cell
data_InFe2Sb
_cell_length_a 3.1007
_cell_length_b 3.1007
_cell_length_c 7.8266
_cell_angle_alpha 90.00
_cell_angle_beta 90.00
_cell_angle_gamma 90.00
_space_group_name_H-M_alt 'P 4 m m'
_space_group_IT_number 99
loop_
_space_group_symop_operation_xyz
'x,y,z'
'-y,x,z'
'-x,-y,z'
'y,-x,z'
'-x,y,z'
'y,x,z'
'x,-y,z'
'-y,-x,z'
loop_
_atom_site_label
_atom_site_fract_x
_atom_site_fract_y
_atom_site_fract_z
In1 0.0000 0.0000 0.0000
Fe1 0.0000 0.0000 0.6245
Fe2 0.5000 0.5000 0.7777
Sb1 0.5000 0.5000 0.4131

***

No. 2
# In4FeSb, relaxed, DFT GGA-PBE
# E_form (uncorrected) = 575 meV/atom
# density of states at the Fermi level = 16.28 states/eV/cell
data_In4FeSb
_cell_length_a 8.5157
_cell_length_b 8.5157
_cell_length_c 8.5157
_cell_angle_alpha 90.00
_cell_angle_beta 90.00
_cell_angle_gamma 90.00
_space_group_name_H-M_alt 'F -4 3 m'
_space_group_IT_number 216
_space_group_name_Hall 'F -4 2 3'
loop_
_atom_site_label
_atom_site_fract_x
_atom_site_fract_y
_atom_site_fract_z
In1 0.1253 0.1253 0.1253
Fe1 0.0000 0.0000 0.5000
Sb1 0.2500 0.2500 0.7500

***

No. 3
# InFe2Sb, relaxed, DFT GGA-PBE
# E_form (uncorrected) = 187 meV/atom
# polymorph energy (0 for the lowest one) = 30 meV per atom
# density of states at the Fermi level = 5.93 states/eV/cell
data_InFe2Sb
_cell_length_a 4.0263
_cell_length_b 3.5043
_cell_length_c 9.8978
_cell_angle_alpha 90.00
_cell_angle_beta 90.00
_cell_angle_gamma 90.00
_space_group_name_H-M_alt 'A m m 2'
_space_group_IT_number 38
loop_
_space_group_symop_operation_xyz
'x,y,z'
'-x,-y,z'
'-x,y,z'
'x,-y,z'
'x,y+1/2,z+1/2'
'-x,-y+1/2,z+1/2'
'-x,y+1/2,z+1/2'
'x,-y+1/2,z+1/2'
loop_
_atom_site_label
_atom_site_fract_x
_atom_site_fract_y
_atom_site_fract_z
In1 0.0000 0.0000 0.0000
Fe1 0.0000 0.0000 0.2821
Fe2 0.5000 0.0000 0.4167
Sb1 0.5000 0.0000 0.7030

***

No. 4
# InFeSb4, relaxed, DFT GGA-PBE
# E_form (uncorrected) = 639 meV/atom
# density of states at the Fermi level = 24.14 states/eV/cell
data_InFeSb4
_cell_length_a 8.7997
_cell_length_b 8.7997
_cell_length_c 8.7997
_cell_angle_alpha 90.00
_cell_angle_beta 90.00
_cell_angle_gamma 90.00
_space_group_name_H-M_alt 'F -4 3 m'
_space_group_IT_number 216
_space_group_name_Hall 'F -4 2 3'
loop_
_atom_site_label
_atom_site_fract_x
_atom_site_fract_y
_atom_site_fract_z
In1 0.0000 0.0000 0.0000
Fe1 0.2500 0.2500 0.2500
Sb1 0.1249 0.1249 0.6249

***

No. 5
# InFe2Sb, relaxed, DFT GGA-PBE
# E_form (uncorrected) = 273 meV/atom
# polymorph energy (0 for the lowest one) = 116 meV per atom
# density of states at the Fermi level = 6.87 states/eV/cell
data_InFe2Sb
_cell_length_a 2.9913
_cell_length_b 4.3992
_cell_length_c 11.1431
_cell_angle_alpha 90.00
_cell_angle_beta 90.00
_cell_angle_gamma 90.00
_space_group_name_H-M_alt 'I m m 2'
_space_group_IT_number 44
loop_
_space_group_symop_operation_xyz
'x,y,z'
'-x,-y,z'
'-x,y,z'
'x,-y,z'
'x+1/2,y+1/2,z+1/2'
'-x+1/2,-y+1/2,z+1/2'
'-x+1/2,y+1/2,z+1/2'
'x+1/2,-y+1/2,z+1/2'
loop_
_atom_site_label
_atom_site_fract_x
_atom_site_fract_y
_atom_site_fract_z
In1 0.0000 0.0000 0.0000
Fe1 0.0000 0.0000 0.4829
Fe2 0.0000 0.5000 0.1596
Sb1 0.0000 0.5000 0.7727

***

No. 6
# InFe2Sb, relaxed, DFT GGA-PBE
# E_form (uncorrected) = 596 meV/atom
# polymorph energy (0 for the lowest one) = 439 meV per atom
# density of states at the Fermi level = 14.91 states/eV/cell
data_InFe2Sb
_cell_length_a 6.6266
_cell_length_b 6.6266
_cell_length_c 6.6266
_cell_angle_alpha 90.00
_cell_angle_beta 90.00
_cell_angle_gamma 90.00
_space_group_name_H-M_alt 'F -4 3 m'
_space_group_IT_number 216
_space_group_name_Hall 'F -4 2 3'
loop_
_atom_site_label
_atom_site_fract_x
_atom_site_fract_y
_atom_site_fract_z
In1 0.0000 0.0000 0.0000
Fe1 0.0000 0.0000 0.5000
Fe2 0.2500 0.2500 0.7500
Sb1 0.2500 0.2500 0.2500

***

No. 7
# InFe2Sb, relaxed, DFT GGA-PBE
# E_form (uncorrected) = 335 meV/atom
# polymorph energy (0 for the lowest one) = 178 meV per atom
# density of states at the Fermi level = 7.80 states/eV/cell
data_InFe2Sb
_cell_length_a 3.2002
_cell_length_b 3.2002
_cell_length_c 25.4452
_cell_angle_alpha 90.00
_cell_angle_beta 90.00
_cell_angle_gamma 120.00
_space_group_name_H-M_alt 'R 3 m'
_space_group_IT_number 160
_space_group_name_Hall 'R 3 -2"'
loop_
_atom_site_label
_atom_site_fract_x
_atom_site_fract_y
_atom_site_fract_z
In1 0.0000 0.0000 0.0000
Fe1 0.0000 0.0000 0.2505
Fe2 0.0000 0.0000 0.5219
Sb1 0.0000 0.0000 0.7788

***

No. 8
# InFe2Sb, relaxed, DFT GGA-PBE
# E_form (uncorrected) = 418 meV/atom
# polymorph energy (0 for the lowest one) = 261 meV per atom
# density of states at the Fermi level = 9.70 states/eV/cell
data_InFe2Sb
_cell_length_a 3.1273
_cell_length_b 3.1273
_cell_length_c 24.4568
_cell_angle_alpha 90.00
_cell_angle_beta 90.00
_cell_angle_gamma 120.00
_space_group_name_H-M_alt 'R -3 m'
_space_group_IT_number 166
_space_group_name_Hall '-R 3 2"'
loop_
_atom_site_label
_atom_site_fract_x
_atom_site_fract_y
_atom_site_fract_z
In1 0.0000 0.0000 0.0000
Fe1 0.0000 0.0000 0.2470
Sb1 0.0000 0.0000 0.5000

***

For each record above, in turn, the calculated E values are -5.790, -3.348, -5.760, -3.977, -5.673, -5.351, -5.611, -5.529 eV per atom.